No. 1
## Rb2CrPd (PBE)

Data for a relaxed Rb2CrPd crystal.

**D(E_F)**: 3.132 states/eV/f.u.
**V**: 50.401 A^3/atom
**Energy above the lowest structure with this stoichiometry**: 0 meV per atom
**E_tot**: -3.615 eV per atom
**M_tot**: 10.4 Bohr magnetons per cell
**Calculated density**: 2.7 g/cm3
**ΔH_f (0 K)**: 573 meV per atom
**Crystal system**: tetragonal

Cell: 12.6506 12.6506 9.2934 Å, 47.11 47.11 90.00°
With the nearest neighbours (Å) after each atom.
Element x y z (fractional)
Cr 0.5000 0.5000 0.0000  2 Pd 2.52
Cr 0.2500 0.7500 0.5000  2 Pd 2.52
Rb 0.7997 0.1250 0.2500  2 Pd 3.36
Rb 0.9503 0.6250 0.2500  2 Pd 3.36
Rb 0.3750 0.2003 0.7500  2 Pd 3.36
Rb 0.8750 0.0497 0.7500  2 Pd 3.36
Pd 0.0000 0.0000 0.0000  2 Cr 2.52
Pd 0.7500 0.2500 0.5000  2 Cr 2.52

---

No. 2
## SrNpTl2O6 (PBE)

Data for a relaxed SrNpTl2O6 crystal.

**D(E_F)**: 5.220 states/eV/f.u.
**V**: 17.267 A^3/atom
**Uncorrected formation energy**: -1.956 eV per atom
**E_tot**: -6.867 eV per atom
**M_tot**: 0.0 Bohr magnetons per cell
**Calculated density**: 8.0 g/cm3
**Crystal system**: monoclinic

Cell: 6.1961 6.3133 8.8284 Å, 90.00 90.59 90.00°
With the nearest neighbours (Å) after each atom.
Element x y z (fractional)
Sr 0.5000 0.0000 0.0000  6 O 2.50-2.53
Sr 0.0000 0.5000 0.5000  6 O 2.50-2.53
Np 0.5000 0.0000 0.5000  6 O 2.02-2.03
Np 0.0000 0.5000 0.0000  6 O 2.02-2.03
Tl 0.0130 0.9863 0.2499  5 O 2.65-2.95
Tl 0.5130 0.5137 0.7499  5 O 2.65-2.95
Tl 0.9870 0.0137 0.7501  5 O 2.65-2.95
Tl 0.4870 0.4863 0.2501  5 O 2.65-2.95
O 0.2487 0.6980 0.0476  1 Np 2.02
O 0.7487 0.8020 0.5476  1 Np 2.02
O 0.7513 0.3020 0.9524  1 Np 2.02
O 0.2513 0.1980 0.4524  1 Np 2.02
O 0.3078 0.7489 0.4499  1 Np 2.03
O 0.8078 0.7511 0.9499  1 Np 2.03
O 0.6922 0.2511 0.5501  1 Np 2.03
O 0.1922 0.2489 0.0501  1 Np 2.03
O 0.9111 0.5083 0.2202  1 Np 2.03
O 0.4111 0.9917 0.7202  1 Np 2.03
O 0.0889 0.4917 0.7798  1 Np 2.03
O 0.5889 0.0083 0.2798  1 Np 2.03

---

No. 3
## BaNi2Cl (PBE)

Data for a relaxed BaNi2Cl crystal.

**D(E_F)**: 4.242 states/eV/f.u.
**V**: 26.776 A^3/atom
**Uncorrected formation energy**: -0.272 eV per atom
**Energy above the lowest structure with this stoichiometry**: 13 meV per atom
**E_tot**: -4.105 eV per atom
**M_tot**: 1.1 Bohr magnetons per cell
**Calculated density**: 4.5 g/cm3
**Crystal system**: trigonal

Cell: 7.7749 7.7749 7.7749 Å, 30.47 30.47 30.47°
With the nearest neighbours (Å) after each atom.
Element x y z (fractional)
Ba 0.5098 0.5098 0.5098  3 Cl 3.03, 6 Ni 3.33-3.34
Cl 0.7579 0.7579 0.7579  3 Ba 3.03
Ni 0.9497 0.9497 0.9497  3 Ni 2.36
Ni 0.2826 0.2826 0.2826  3 Ni 2.36

---

No. 4
## PmYSc2Se4 (PBE)

Data for a relaxed PmYSc2Se4 crystal.

**D(E_F)**: 5.013 states/eV/f.u.
**V**: 22.797 A^3/atom
**Uncorrected formation energy**: -1.684 eV per atom
**E_tot**: -6.411 eV per atom
**M_tot**: 0.0 Bohr magnetons per cell
**Calculated density**: 5.8 g/cm3
**Crystal system**: monoclinic

Cell: 3.9659 7.0211 6.9250 Å, 71.06 90.00 90.00°
With the nearest neighbours (Å) after each atom.
Element x y z (fractional)
Pm 0.5000 0.5000 0.0000  6 Se 2.94
Y 0.0000 0.5000 0.5000  6 Se 2.90-2.91
Sc 0.0000 0.0000 0.0000  6 Se 2.77-2.78
Sc 0.5000 0.0000 0.5000  6 Se 2.73-2.74
Se 0.0000 0.7731 0.7378  3 Sc 2.73-2.78, 1 Y 2.91, 2 Pm 2.94
Se 0.0000 0.2269 0.2622  3 Sc 2.73-2.78, 1 Y 2.90, 2 Pm 2.94
Se 0.5000 0.7697 0.2478  3 Sc 2.74-2.77, 2 Y 2.90, 1 Pm 2.94
Se 0.5000 0.2303 0.7522  3 Sc 2.74-2.77, 2 Y 2.90, 1 Pm 2.94

---

No. 5
## Rb5Tl6Cd (PBE)

Data for a relaxed Rb5Tl6Cd crystal.

**D(E_F)**: 8.174 states/eV/f.u.
**V**: 47.055 A^3/atom
**E_tot**: -1.715 eV per atom
**M_tot**: 0.0 Bohr magnetons per cell
**Calculated density**: 5.2 g/cm3
**ΔH_f (0 K)**: -52 meV per atom
**Crystal system**: monoclinic

Cell: 9.6962 7.7000 9.3421 Å, 65.66 79.10 62.69°
With the nearest neighbours (Å) after each atom.
Element x y z (fractional)
Tl 0.6903 0.9578 0.0000  1 Cd 3.16, 3 Tl 3.25-3.44
Tl 0.8180 0.9482 0.3018  1 Cd 3.01, 2 Tl 3.14-3.25
Tl 0.1820 0.7500 0.3018  1 Cd 3.01, 2 Tl 3.14-3.25
Tl 0.1820 0.0518 0.6982  1 Cd 3.01, 2 Tl 3.14-3.25
Tl 0.8180 0.2500 0.6982  1 Cd 3.01, 2 Tl 3.14-3.25
Tl 0.3097 0.0422 0.0000  1 Cd 3.16, 3 Tl 3.25-3.44
Rb 0.5000 0.2107 0.5785  6 Tl 3.65-3.98, 2 Rb 4.08
Rb 0.0000 0.6375 0.7250  8 Tl 3.93-4.21
Rb 0.0000 0.3625 0.2750  8 Tl 3.93-4.21
Rb 0.5000 0.5000 0.0000  6 Tl 3.71-4.11
Rb 0.5000 0.7893 0.4215  6 Tl 3.65-3.98, 2 Rb 4.08
Cd 0.0000 0.0000 0.0000  6 Tl 3.01-3.16

---

No. 6
## Ho4ZnPt2 (PBE)

Data for a relaxed Ho4ZnPt2 crystal.

**D(E_F)**: 3.991 states/eV/f.u.
**V**: 23.800 A^3/atom
**E_tot**: -5.377 eV per atom
**M_tot**: 0.0 Bohr magnetons per cell
**Calculated density**: 11.1 g/cm3
**ΔH_f (0 K)**: -853 meV per atom
**Crystal system**: trigonal

Cell: 4.8802 4.8802 8.5548 Å, 73.43 73.43 60.00°
With the nearest neighbours (Å) after each atom.
Element x y z (fractional)
Ho 0.8732 0.8732 0.3804  4 Pt 2.94-2.99, 1 Zn 3.07
Ho 0.1268 0.1268 0.6196  4 Pt 2.94-2.99, 1 Zn 3.07
Ho 0.6221 0.6221 0.1338  4 Pt 2.98-3.15, 3 Zn 3.02
Ho 0.3779 0.3779 0.8662  4 Pt 2.98-3.15, 3 Zn 3.02
Zn 0.0000 0.0000 0.0000  8 Ho 3.02-3.07
Pt 0.7519 0.7519 0.7444  8 Ho 2.94-3.15
Pt 0.2481 0.2481 0.2556  8 Ho 2.94-3.15

---

No. 7
## ZnGa2Sn2Rh5 (PBE)

Data for a relaxed ZnGa2Sn2Rh5 crystal.

**D(E_F)**: 5.432 states/eV/f.u.
**V**: 16.390 A^3/atom
**E_tot**: -5.560 eV per atom
**M_tot**: 0.0 Bohr magnetons per cell
**Calculated density**: 9.7 g/cm3
**ΔH_f (0 K)**: -351 meV per atom
**Crystal system**: tetragonal

Cell: 3.0485 10.3697 10.3697 Å, 90.00 90.00 90.00°
With the nearest neighbours (Å) after each atom.
Element x y z (fractional)
Zn 0.0000 0.0000 0.0000  8 Rh 2.63
Zn 0.0000 0.5000 0.5000  8 Rh 2.63
Ga 0.0000 0.1420 0.6420  6 Rh 2.54-2.58
Ga 0.0000 0.8580 0.3580  6 Rh 2.54-2.58
Ga 0.0000 0.6420 0.8580  6 Rh 2.54-2.58
Ga 0.0000 0.3580 0.1420  6 Rh 2.54-2.58
Sn 0.0000 0.6565 0.1565  6 Rh 2.71-2.75, 1 Ga 2.96
Sn 0.0000 0.3435 0.8435  6 Rh 2.71-2.75, 1 Ga 2.96
Sn 0.0000 0.1565 0.3435  6 Rh 2.71-2.75, 1 Ga 2.96
Sn 0.0000 0.8435 0.6565  6 Rh 2.71-2.75, 1 Ga 2.96
Rh 0.5000 0.1621 0.1278  2 Ga 2.54, 2 Zn 2.63, 2 Sn 2.71
Rh 0.5000 0.8379 0.8722  2 Ga 2.54, 2 Zn 2.63, 2 Sn 2.71
Rh 0.5000 0.1278 0.8379  2 Ga 2.54, 2 Zn 2.63, 2 Sn 2.71
Rh 0.5000 0.6621 0.3722  2 Ga 2.54, 2 Zn 2.63, 2 Sn 2.71
Rh 0.5000 0.8722 0.1621  2 Ga 2.54, 2 Zn 2.63, 2 Sn 2.71
Rh 0.5000 0.3379 0.6278  2 Ga 2.54, 2 Zn 2.63, 2 Sn 2.71
Rh 0.5000 0.6278 0.6621  2 Ga 2.54, 2 Zn 2.63, 2 Sn 2.71
Rh 0.5000 0.3722 0.3379  2 Ga 2.54, 2 Zn 2.63, 2 Sn 2.71
Rh 0.5000 0.5000 0.0000  4 Ga 2.58, 4 Sn 2.75
Rh 0.5000 0.0000 0.5000  4 Ga 2.58, 4 Sn 2.75

---

No. 8
## AlBiBAu2 (PBE)

Data for a relaxed AlBiBAu2 crystal.

**D(E_F)**: 2.102 states/eV/f.u.
**V**: 28.307 A^3/atom
**E_tot**: -2.903 eV per atom
**M_tot**: 0.0 Bohr magnetons per cell
**Calculated density**: 7.5 g/cm3
**ΔH_f (0 K)**: 1268 meV per atom
**Crystal system**: tetragonal

Cell: 5.4853 4.7040 5.4853 Å, 90.00 90.00 90.00°
With the nearest neighbours (Å) after each atom.
Element x y z (fractional)
B 0.0000 0.5000 0.0000  2 Bi 2.35
Au 0.0000 0.0000 0.5000  2 Bi 2.74
Au 0.5000 0.0000 0.0000  2 Bi 2.74
Bi 0.0000 0.0000 0.0000  2 B 2.35
Al 0.5000 0.5000 0.5000  8 Au 3.61, 4 B 3.88